Computed, not measured: an optimized crystal structure of GaSn2I at the PBE level of DFT.

Values from the calculation:
Calculated volume ... 39.09 Å³/atom
Formation energy from raw total energies ... 0.93 eV per formula unit
Energy above the lowest structure with this stoichiometry ... 9.5 kJ per mole of atoms
DOS at the Fermi energy ... 5.2 states/eV per cell

Geometry as POSCAR:
```
GaSn2I
1.0
7.142 0.000 0.000
0.000 7.142 0.000
3.571 3.571 6.131
I Sn Ga
2 4 2
direct
0.000 0.000 0.000 I
0.750 0.250 0.500 I
0.558 0.125 0.250 Sn
0.192 0.625 0.250 Sn
0.375 0.442 0.750 Sn
0.875 0.808 0.750 Sn
0.500 0.500 0.000 Ga
0.250 0.750 0.500 Ga
```